# BaCePbAu

BaCePbAu after structural relaxation (PBE, the Alexandria database).

DFT formation energy = -0.440 eV/atom
total energy = -16.6 eV for the cell shown

a = 5.686 Å, b = 5.686 Å, c = 5.686 Å
α = 60.00°, β = 60.00°, γ = 60.00°
Atoms (fractional coordinates):
Ba1 0.000 0.000 0.000
Ce1 0.500 0.500 0.500
Pb1 0.250 0.250 0.250
Au1 0.750 0.750 0.750

=====

# BaCePdAu

BaCePdAu after structural relaxation (PBE, the Alexandria database).

DFT formation energy = -0.452 eV/atom
total energy = -18.1 eV for the cell shown

a = 5.379 Å, b = 5.379 Å, c = 5.379 Å
α = 60.00°, β = 60.00°, γ = 60.00°
Atoms (fractional coordinates):
Ba1 0.000 0.000 0.000
Ce1 0.500 0.500 0.500
Pd1 0.250 0.250 0.250
Au1 0.750 0.750 0.750

=====

# Ba2CeAu2S6

Ba2CeAu2S6 after structural relaxation (PBE, the Alexandria database).

formation energy (no corrections) = -1.151 eV per atom
total energy = -53.8 eV for the cell shown

a = 7.408 Å, b = 7.408 Å, c = 8.306 Å
α = 116.94°, β = 116.94°, γ = 50.48°
Atoms (fractional coordinates):
Ba1 0.216 0.216 0.209
Ba2 0.784 0.784 0.791
Ce1 0.000 0.000 0.500
Au1 0.423 0.423 0.725
Au2 0.577 0.577 0.275
S1 0.171 0.681 0.186
S2 0.224 0.224 0.602
S3 0.319 0.829 0.814
S4 0.681 0.171 0.186
S5 0.776 0.776 0.398
S6 0.829 0.319 0.814